(1)
A relaxed structure of BAuS. Source: the Alexandria database, functional GGA-PBE.

Cell: 3.9305 4.8826 7.3397 Å, 95.59 100.79 97.97°
Closest atoms and distances in Å follow each position.
Space group P1 (No. 1)
One atom of each set of equivalent atoms:
B (0.0000, 0.0000, 0.0000)  1 B 1.68, 1 S 1.85
B (0.4184, 0.9474, 0.0451)  1 B 1.68
Au (0.5130, 0.7912, 0.5380)  2 S 2.30-2.32
Au (0.8054, 0.3143, 0.1381)  2 B 2.07-2.15
S (0.3903, 0.6684, 0.2191)  1 B 1.96
S (0.6255, 0.7550, 0.8553)  2 B 1.85-1.97

Calculated values
For the calculated volume, the calculation gives 22.7 Å³ per atom. For the magnetic moment, the calculation gives 0.00 Bohr magnetons per cell. Its theoretical density is 5.86 g/cm³. The final energy is -4.5825 eV per atom.

(2)
A relaxed structure of KEuNbInO6. Source: the Alexandria database, functional GGA-PBE.

Cell: 8.2759 8.2759 8.2759 Å, 90.00 90.00 90.00°
Closest atoms and distances in Å follow each position.
Space group F-43m (No. 216)
One atom of each set of equivalent atoms:
K (0.0000, 0.0000, 0.0000)  12 O 2.93
Eu (0.0000, 0.0000, 0.5000)  12 O 2.93
Nb (0.2500, 0.2500, 0.7500)  6 O 2.00
In (0.2500, 0.2500, 0.2500)  6 O 2.14
O (0.0087, 0.2500, 0.7500)  1 Nb 2.00, 1 In 2.14

Calculated values
For the calculated volume, the calculation gives 14.2 Å³ per atom. For the magnetic moment, the calculation gives 23.84 Bohr magnetons per cell. Its theoretical density is 5.80 g/cm³. The final energy is -7.5481 eV per atom.

(3)
A relaxed structure of TbTh2Tl. Source: the Alexandria database, functional GGA-PBE.

Cell: 3.5424 3.5424 34.7058 Å, 90.00 90.00 120.00°
Closest atoms and distances in Å follow each position.
Space group R3m (No. 160, hexagonal axes)
One atom of each set of equivalent atoms:
Tb (0.0000, 0.0000, 0.0000)  6 Tb 3.54, 6 Th 3.58-3.62
Th (0.0000, 0.0000, 0.4181)  3 Tl 3.47, 6 Th 3.54, 3 Tb 3.58
Th (0.0000, 0.0000, 0.5807)  3 Tl 3.50, 6 Th 3.54, 3 Tb 3.62
Tl (0.0000, 0.0000, 0.1657)  6 Th 3.47-3.50, 6 Tl 3.54

Calculated values
For the calculated volume, the calculation gives 31.4 Å³ per atom. For the magnetic moment, the calculation gives 0.00 Bohr magnetons per cell. Its theoretical density is 10.93 g/cm³. The final energy is -5.4344 eV per atom. For the distance to the lowest polymorph of the same formula, the calculation gives 0.127 eV per atom. The formation energy comes out at 0.025 eV per atom.

(4)
A relaxed structure of Na2PrScTe4. Source: the Alexandria database, functional GGA-PBE.

Cell: 7.6624 4.4141 7.9782 Å, 90.00 108.63 90.00°
Closest atoms and distances in Å follow each position.
Space group P2/m (No. 10)
One atom of each set of equivalent atoms:
Na (0.0000, 0.0000, 0.0000)  6 Te 3.35-3.36
Na (0.5000, 0.5000, 0.0000)  6 Te 3.19
Pr (0.0000, 0.5000, 0.5000)  6 Te 3.17-3.18
Sc (0.5000, 0.0000, 0.5000)  6 Te 2.99-3.01
Te (0.2638, 0.0000, 0.7351)  1 Sc 2.99, 2 Pr 3.17, 2 Na 3.19
Te (0.2762, 0.5000, 0.2755)  2 Sc 3.01, 1 Pr 3.18, 3 Na 3.19-3.35

Calculated values
For the calculated volume, the calculation gives 32.0 Å³ per atom. For the magnetic moment, the calculation gives 0.00 Bohr magnetons per cell. Its theoretical density is 4.82 g/cm³. The final energy is -4.5277 eV per atom.

(5)
A relaxed structure of BaFeCu2. Source: the Alexandria database, functional GGA-PBE.

Cell: 3.6215 3.7031 6.5036 Å, 90.00 90.00 90.00°
Closest atoms and distances in Å follow each position.
Space group Pmm2 (No. 25)
One atom of each set of equivalent atoms:
Ba (0.0000, 0.0000, 0.0000)  6 Cu 3.25-3.42, 2 Fe 3.46, 2 Ba 3.62
Fe (0.0000, 0.5000, 0.4489)  6 Cu 2.43-2.59
Cu (0.5000, 0.0000, 0.4454)  2 Cu 2.48, 4 Fe 2.59
Cu (0.5000, 0.5000, 0.6989)  2 Fe 2.43, 2 Cu 2.48

Calculated values
For the calculated volume, the calculation gives 21.8 Å³ per atom. For the magnetic moment, the calculation gives 3.05 Bohr magnetons per cell. Its theoretical density is 6.10 g/cm³. The final energy is -4.1971 eV per atom. The formation energy comes out at 0.447 eV per atom.

(6)
A relaxed structure of Al2Zn2GePd5. Source: the Alexandria database, functional GGA-PBE.

Cell: 10.4046 10.4046 2.9255 Å, 90.00 90.00 90.00°
Closest atoms and distances in Å follow each position.
Space group P4/mbm (No. 127)
One atom of each set of equivalent atoms:
Al (0.1446, 0.3554, 0.0000)  6 Pd 2.57-2.58
Zn (0.1467, 0.6467, 0.0000)  6 Pd 2.61-2.64
Ge (0.0000, 0.0000, 0.0000)  8 Pd 2.61
Pd (0.0000, 0.5000, 0.5000)  4 Al 2.58, 4 Zn 2.61
Pd (0.1418, 0.1521, 0.5000)  2 Al 2.57, 2 Ge 2.61, 2 Zn 2.64

Calculated values
For the calculated volume, the calculation gives 15.8 Å³ per atom. For the magnetic moment, the calculation gives 0.00 Bohr magnetons per cell. Its theoretical density is 8.28 g/cm³. The final energy is -4.5912 eV per atom. The formation energy comes out at -0.530 eV per atom.

(7)
A relaxed structure of SbPdAu. Source: the Alexandria database, functional GGA-PBE.

Cell: 7.0631 8.3362 8.9114 Å, 90.00 90.00 90.00°
Closest atoms and distances in Å follow each position.
Space group Fmmm (No. 69)
One atom of each set of equivalent atoms:
Sb (0.0000, 0.2249, 0.0000)  4 Pd 2.72-2.79, 2 Au 2.82
Pd (0.2075, 0.0000, 0.5000)  4 Sb 2.72-2.79, 4 Au 2.77-2.95, 1 Pd 2.93
Au (0.0000, 0.0000, 0.2357)  4 Pd 2.77-2.95, 2 Sb 2.82

Calculated values
For the calculated volume, the calculation gives 21.9 Å³ per atom. For the magnetic moment, the calculation gives 0.00 Bohr magnetons per cell. Its theoretical density is 10.76 g/cm³. The final energy is -4.3136 eV per atom.

(8)
A relaxed structure of Cu2MoPt. Source: the Alexandria database, functional GGA-PBE.

Cell: 6.0301 6.0301 6.0301 Å, 90.00 90.00 90.00°
Closest atoms and distances in Å follow each position.
Space group Fm-3m (No. 225)
One atom of each set of equivalent atoms:
Cu (0.2500, 0.2500, 0.2500)  4 Mo 2.61, 4 Pt 2.61
Mo (0.0000, 0.0000, 0.0000)  8 Cu 2.61
Pt (0.0000, 0.0000, 0.5000)  8 Cu 2.61

Calculated values
For the calculated volume, the calculation gives 13.7 Å³ per atom. For the magnetic moment, the calculation gives 0.00 Bohr magnetons per cell. Its theoretical density is 12.67 g/cm³. The final energy is -6.1570 eV per atom. For the distance to the lowest polymorph of the same formula, the calculation gives 0.168 eV per atom. The formation energy comes out at 0.109 eV per atom.

(9)
A relaxed structure of Cs2CdAg2. Source: the Alexandria database, functional GGA-PBE.

Cell: 7.2223 7.2223 8.3842 Å, 90.00 90.00 90.00°
Closest atoms and distances in Å follow each position.
Space group I4/mmm (No. 139)
One atom of each set of equivalent atoms:
Cs (0.0000, 0.5000, 0.2500)  4 Ag 3.68
Cd (0.0000, 0.0000, 0.0000)  2 Ag 2.82
Ag (0.0000, 0.0000, 0.3367)  1 Ag 2.74, 1 Cd 2.82

Calculated values
For the calculated volume, the calculation gives 43.7 Å³ per atom. For the magnetic moment, the calculation gives 0.00 Bohr magnetons per cell. Its theoretical density is 4.51 g/cm³. The final energy is -1.5894 eV per atom. For the distance to the lowest polymorph of the same formula, the calculation gives 0.072 eV per atom. The formation energy comes out at 0.076 eV per atom.

(10)
A relaxed structure of K3Pd2Br9. Source: the Alexandria database, functional GGA-PBE.

Cell: 12.0795 12.0795 22.8209 Å, 90.00 90.00 120.00°
Closest atoms and distances in Å follow each position.
Space group R-3c (No. 167, hexagonal axes)
One atom of each set of equivalent atoms:
K (0.0000, 0.3347, 0.2500)  8 Br 3.44-3.69
Pd (0.0000, 0.0000, 0.1778)  6 Br 2.56-2.62
Br (0.0000, 0.1688, 0.7500)  2 Pd 2.62
Br (0.0115, 0.1822, 0.1162)  1 Pd 2.56

Calculated values
For the calculated volume, the calculation gives 34.3 Å³ per atom. For the magnetic moment, the calculation gives 0.00 Bohr magnetons per cell. Its theoretical density is 3.63 g/cm³. The final energy is -2.9231 eV per atom.

(11)
A relaxed structure of PmPr8Ho6. Source: the Alexandria database, functional GGA-PBE.

Cell: 9.8891 9.8891 18.1584 Å, 90.00 90.00 120.00°
Closest atoms and distances in Å follow each position.
Space group R-3 (No. 148, hexagonal axes)
One atom of each set of equivalent atoms:
Pm (0.0000, 0.0000, 0.0000)  6 Ho 3.43, 6 Pr 3.79
Pr (0.0000, 0.0000, 0.4141)  1 Pr 3.12, 3 Ho 3.13
Pr (0.0536, 0.8136, 0.1717)  4 Ho 3.39-3.80, 4 Pr 3.72-3.74, 1 Pm 3.79
Ho (0.0377, 0.7526, 0.6773)  2 Pr 3.13-3.39, 1 Pm 3.43, 2 Ho 3.45

Calculated values
For the calculated volume, the calculation gives 34.2 Å³ per atom. For the magnetic moment, the calculation gives 0.00 Bohr magnetons per cell. Its theoretical density is 7.33 g/cm³. The final energy is -4.5316 eV per atom. For the distance to the lowest polymorph of the same formula, the calculation gives 0.000 eV per atom. The formation energy comes out at 0.165 eV per atom.

(12)
A relaxed structure of Tm4InGaRu2. Source: the Alexandria database, functional GGA-PBE.

Cell: 4.9286 4.9286 24.1710 Å, 90.00 90.00 120.00°
Closest atoms and distances in Å follow each position.
Space group R-3m (No. 166, hexagonal axes)
One atom of each set of equivalent atoms:
Tm (0.0000, 0.0000, 0.1220)  1 Ga 2.95, 4 Ru 2.99-3.08, 3 In 3.04
Tm (0.0000, 0.0000, 0.3723)  4 Ru 2.97-3.05, 3 Ga 3.00, 1 In 3.09
In (0.0000, 0.0000, 0.5000)  8 Tm 3.04-3.09
Ga (0.0000, 0.0000, 0.0000)  8 Tm 2.95-3.00
Ru (0.0000, 0.0000, 0.2493)  8 Tm 2.97-3.08

Calculated values
For the calculated volume, the calculation gives 21.2 Å³ per atom. For the magnetic moment, the calculation gives 0.00 Bohr magnetons per cell. Its theoretical density is 10.41 g/cm³. The final energy is -5.7114 eV per atom. The formation energy comes out at -0.436 eV per atom.